# 1
This record from Alexandria describes Y2HfZr after structural relaxation. The functional is PBE.

Cell and atoms, written as POSCAR:
```
Y2HfZr
1.0
-6.789 -4.780 -0.292
4.146 -5.612 -4.510
-0.404 -6.662 0.266
Y Zr Hf
4 2 2
Direct
0.625 0.125 0.250
0.125 0.625 0.250
0.375 0.375 0.750
0.875 0.875 0.750
0.250 0.750 0.500
0.500 0.500 0.000
0.750 0.250 0.500
0.000 0.000 0.000
```

Computed properties:
**E above lowest polymorph**: 202 kJ/mol of formula units
**Space group**: No. 122
**ΔH_f (0 K)**: 0.69 eV per atom


# 2
This record from Alexandria describes Mn3CrAg after structural relaxation. The functional is PBE.

Cell and atoms, written as POSCAR:
```
Mn3CrAg
1.0
4.374 0.000 0.000
0.000 4.374 0.000
0.000 0.000 4.374
Cr Mn Ag
1 3 1
Direct
0.000 0.000 0.000
0.500 0.000 0.000
0.000 0.000 0.500
0.000 0.500 0.000
0.500 0.500 0.500
```

Computed properties:
**Space group**: No. 221
**ΔH_f (0 K)**: 0.95 eV per atom


# 3
This record from Alexandria describes SrPBr after structural relaxation. The functional is PBE.

Cell and atoms, written as POSCAR:
```
SrPBr
1.0
5.172 0.000 0.000
2.586 4.479 0.000
2.586 1.493 4.223
Sr P Br
1 1 1
Direct
0.000 0.000 0.000
0.250 0.250 0.250
0.500 0.500 0.500
```

Computed properties:
**E above lowest polymorph**: 260 kJ/mol of formula units
**Space group**: No. 216
**Formation energy from raw total energies**: -0.375 eV/atom


Number 1 is which compound? Y2HfZr